(1)
Density functional theory data (PBE) for crystalline NaPrC at its relaxed geometry.

Output
- Mass density: 3.384 g/cm³
- DOS(E_F): 2.5 states/eV/cell
- Total moment: 0.00 μB per formula unit

Cell lengths 3.7541, 4.3572, 12.1495 Å; angles 105.38, 98.56, 64.39 degrees
Atoms (fractional coordinates):
Pr (0.4876, 0.1920, 0.5447)
C (0.0381, 0.9501, 0.3978)
Pr (0.7466, 0.4479, 0.3092)
Na (0.2413, 0.9469, 0.8074)
Na (0.9955, 0.6929, 0.0464)
C (0.1962, 0.6898, 0.4562)

=====

(2)
Density functional theory data (PBE) for crystalline NaPrC at its relaxed geometry.

Output
- Mass density: 4.043 g/cm³
- DOS(E_F): 5.0 states/eV/cell
- Total moment: 0.00 μB per formula unit

Cell lengths 3.9618, 3.9630, 11.5711 Å; angles 89.96, 110.01, 60.01 degrees
Atoms (fractional coordinates):
C (0.8636, 0.3219, 0.9723)
Na (0.3633, 0.5714, 0.5964)
Pr (0.3945, 0.0566, 0.3705)
C (0.8498, 0.3287, 0.4619)
Na (0.0178, 0.7448, 0.8375)
Pr (0.6488, 0.9290, 0.0611)

=====

Most stable = (1)

=====

(1)
Density functional theory data (PBE) for crystalline NaPtC3 at its relaxed geometry.

Output
- Mass density: 6.344 g/cm³
- DOS(E_F): 4.0 states/eV/cell
- Total moment: 0.00 μB per formula unit

Cell lengths 4.0516, 4.0516, 4.0516 Å; angles 90.00, 90.00, 90.00 degrees
Atoms (fractional coordinates):
C (0.0000, 0.5000, 0.0000)
C (0.5000, 0.0000, 0.0000)
Pt (0.5000, 0.5000, 0.5000)
C (0.0000, 0.0000, 0.5000)
Na (0.0000, 0.0000, 0.0000)

=====

(2)
Density functional theory data (PBE) for crystalline NaPtC3 at its relaxed geometry.

Output
- Mass density: 6.004 g/cm³
- DOS(E_F): 3.9 states/eV/cell
- Total moment: 1.14 μB per formula unit

Cell lengths 4.1268, 4.1268, 4.1268 Å; angles 90.00, 90.00, 90.00 degrees
Atoms (fractional coordinates):
Na (0.5000, 0.5000, 0.5000)
C (0.0000, 0.5000, 0.0000)
C (0.5000, 0.0000, 0.0000)
C (0.0000, 0.0000, 0.5000)
Pt (0.0000, 0.0000, 0.0000)

=====

Most stable = (2)

=====

(1)
Density functional theory data (PBE) for crystalline NaPt3C at its relaxed geometry.

Output
- Mass density: 10.470 g/cm³
- DOS(E_F): 8.6 states/eV/cell
- Total moment: 0.00 μB per formula unit

Cell lengths 4.6162, 4.6162, 4.6162 Å; angles 90.00, 90.00, 90.00 degrees
Atoms (fractional coordinates):
Pt (0.5000, 0.0000, 0.0000)
C (0.5000, 0.5000, 0.5000)
Pt (0.0000, 0.0000, 0.5000)
Pt (0.0000, 0.5000, 0.0000)
Na (0.0000, 0.0000, 0.0000)

=====

(2)
Density functional theory data (PBE) for crystalline NaPt3C at its relaxed geometry.

Output
- Mass density: 13.752 g/cm³
- DOS(E_F): 6.0 states/eV/cell
- Total moment: 0.00 μB per formula unit

Cell lengths 4.2152, 4.2152, 4.2152 Å; angles 90.00, 90.00, 90.00 degrees
Atoms (fractional coordinates):
C (0.0000, 0.0000, 0.0000)
Na (0.5000, 0.5000, 0.5000)
Pt (0.0000, 0.0000, 0.5000)
Pt (0.5000, 0.0000, 0.0000)
Pt (0.0000, 0.5000, 0.0000)

=====

Most stable = (2)

=====

(1)
Density functional theory data (PBE) for crystalline NaRh2C at its relaxed geometry.

Output
- Mass density: 6.830 g/cm³
- DOS(E_F): 1.8 states/eV/cell
- Total moment: 0.00 μB per formula unit

Cell lengths 6.6091, 6.6091, 5.3876 Å; angles 52.17, 52.17, 90.00 degrees
Atoms (fractional coordinates):
Na (0.7500, 0.2500, 0.5000)
C (0.2500, 0.7500, 0.5000)
C (0.5000, 0.5000, 0.0000)
Rh (0.5037, 0.1250, 0.2500)
Na (0.0000, 0.0000, 0.0000)
Rh (0.3750, 0.4963, 0.7500)
Rh (0.2463, 0.6250, 0.2500)
Rh (0.8750, 0.7537, 0.7500)

=====

(2)
Density functional theory data (PBE) for crystalline NaRh2C at its relaxed geometry.

Output
- Mass density: 8.225 g/cm³
- DOS(E_F): 1.7 states/eV/cell
- Total moment: 0.00 μB per formula unit

Cell lengths 4.0967, 4.0967, 4.0967 Å; angles 60.00, 60.00, 60.00 degrees
Atoms (fractional coordinates):
Rh (0.2500, 0.2500, 0.2500)
Rh (0.7500, 0.7500, 0.7500)
C (0.0000, 0.0000, 0.0000)
Na (0.5000, 0.5000, 0.5000)

=====

Most stable = (1)

=====

(1)
Density functional theory data (PBE) for crystalline NaRh3C at its relaxed geometry.

Output
- Mass density: 6.380 g/cm³
- DOS(E_F): 4.1 states/eV/cell
- Total moment: 0.00 μB per formula unit

Cell lengths 4.4723, 4.4723, 4.4723 Å; angles 90.00, 90.00, 90.00 degrees
Atoms (fractional coordinates):
Rh (0.5000, 0.0000, 0.0000)
Rh (0.0000, 0.5000, 0.0000)
Rh (0.0000, 0.0000, 0.5000)
C (0.5000, 0.5000, 0.5000)
Na (0.0000, 0.0000, 0.0000)

=====

(2)
Density functional theory data (PBE) for crystalline NaRh3C at its relaxed geometry.

Output
- Mass density: 8.255 g/cm³
- DOS(E_F): 4.2 states/eV/cell
- Total moment: 0.00 μB per formula unit

Cell lengths 4.1044, 4.1044, 4.1044 Å; angles 90.00, 90.00, 90.00 degrees
Atoms (fractional coordinates):
Na (0.5000, 0.5000, 0.5000)
Rh (0.5000, 0.0000, 0.0000)
C (0.0000, 0.0000, 0.0000)
Rh (0.0000, 0.5000, 0.0000)
Rh (0.0000, 0.0000, 0.5000)

=====

Most stable = (2)

=====

(1)
Density functional theory data (PBE) for crystalline NaRuC3 at its relaxed geometry.

Output
- Mass density: 4.577 g/cm³
- DOS(E_F): 4.3 states/eV/cell
- Total moment: 0.00 μB per formula unit

Cell lengths 3.8728, 3.8728, 3.8728 Å; angles 90.00, 90.00, 90.00 degrees
Atoms (fractional coordinates):
C (0.0000, 0.5000, 0.0000)
Ru (0.5000, 0.5000, 0.5000)
Na (0.0000, 0.0000, 0.0000)
C (0.0000, 0.0000, 0.5000)
C (0.5000, 0.0000, 0.0000)

=====

(2)
Density functional theory data (PBE) for crystalline NaRuC3 at its relaxed geometry.

Output
- Mass density: 3.954 g/cm³
- DOS(E_F): 3.3 states/eV/cell
- Total moment: 0.00 μB per formula unit

Cell lengths 4.0664, 4.0664, 4.0664 Å; angles 90.00, 90.00, 90.00 degrees
Atoms (fractional coordinates):
C (0.0000, 0.0000, 0.5000)
C (0.5000, 0.0000, 0.0000)
Na (0.5000, 0.5000, 0.5000)
Ru (0.0000, 0.0000, 0.0000)
C (0.0000, 0.5000, 0.0000)

=====

Most stable = (2)

=====

(1)
Density functional theory data (PBE) for crystalline NaSb3C at its relaxed geometry.

Output
- Mass density: 4.334 g/cm³
- DOS(E_F): 4.3 states/eV/cell
- Total moment: 1.19 μB per formula unit

Cell lengths 5.3528, 5.3528, 5.3528 Å; angles 90.00, 90.00, 90.00 degrees
Atoms (fractional coordinates):
C (0.5000, 0.5000, 0.5000)
Sb (0.0000, 0.0000, 0.5000)
Sb (0.0000, 0.5000, 0.0000)
Sb (0.5000, 0.0000, 0.0000)
Na (0.0000, 0.0000, 0.0000)

=====

(2)
Density functional theory data (PBE) for crystalline NaSb3C at its relaxed geometry.

Output
- Mass density: 5.666 g/cm³
- DOS(E_F): 3.2 states/eV/cell
- Total moment: 0.00 μB per formula unit

Cell lengths 4.8952, 4.8952, 4.8952 Å; angles 90.00, 90.00, 90.00 degrees
Atoms (fractional coordinates):
Sb (0.0000, 0.5000, 0.0000)
Na (0.5000, 0.5000, 0.5000)
Sb (0.5000, 0.0000, 0.0000)
Sb (0.0000, 0.0000, 0.5000)
C (0.0000, 0.0000, 0.0000)

=====

Most stable = (2)

=====

(1)
Density functional theory data (PBE) for crystalline NaScC3 at its relaxed geometry.

Output
- Mass density: 2.149 g/cm³
- DOS(E_F): 2.0 states/eV/cell
- Total moment: 0.00 μB per formula unit

Cell lengths 4.3152, 4.3152, 4.3152 Å; angles 90.00, 90.00, 90.00 degrees
Atoms (fractional coordinates):
Sc (0.0000, 0.0000, 0.0000)
Na (0.5000, 0.5000, 0.5000)
C (0.0000, 0.0000, 0.5000)
C (0.0000, 0.5000, 0.0000)
C (0.5000, 0.0000, 0.0000)

=====

(2)
Density functional theory data (PBE) for crystalline NaScC3 at its relaxed geometry.

Output
- Mass density: 2.306 g/cm³
- DOS(E_F): 5.0 states/eV/cell
- Total moment: 0.01 μB per formula unit

Cell lengths 4.2148, 4.2148, 4.2148 Å; angles 90.00, 90.00, 90.00 degrees
Atoms (fractional coordinates):
C (0.5000, 0.0000, 0.0000)
Na (0.0000, 0.0000, 0.0000)
C (0.0000, 0.5000, 0.0000)
Sc (0.5000, 0.5000, 0.5000)
C (0.0000, 0.0000, 0.5000)

=====

Most stable = (1)

=====

(1)
Density functional theory data (PBE) for crystalline NaSc3C at its relaxed geometry.

Output
- Mass density: 2.752 g/cm³
- DOS(E_F): 6.3 states/eV/cell
- Total moment: 0.04 μB per formula unit

Cell lengths 4.6798, 4.6798, 4.6798 Å; angles 90.00, 90.00, 90.00 degrees
Atoms (fractional coordinates):
Sc (0.0000, 0.0000, 0.5000)
Sc (0.5000, 0.0000, 0.0000)
C (0.0000, 0.0000, 0.0000)
Sc (0.0000, 0.5000, 0.0000)
Na (0.5000, 0.5000, 0.5000)

=====

(2)
Density functional theory data (PBE) for crystalline NaSc3C at its relaxed geometry.

Output
- Mass density: 2.247 g/cm³
- DOS(E_F): 8.6 states/eV/cell
- Total moment: 2.49 μB per formula unit

Cell lengths 5.0068, 5.0068, 5.0068 Å; angles 90.00, 90.00, 90.00 degrees
Atoms (fractional coordinates):
C (0.5000, 0.5000, 0.5000)
Sc (0.5000, 0.0000, 0.0000)
Na (0.0000, 0.0000, 0.0000)
Sc (0.0000, 0.0000, 0.5000)
Sc (0.0000, 0.5000, 0.0000)

=====

Most stable = (1)

=====

(1)
Density functional theory data (PBE) for crystalline Na2CSe at its relaxed geometry.

Output
- Mass density: 2.898 g/cm³
- DOS(E_F): 2.1 states/eV/cell
- Total moment: 2.00 μB per formula unit

Cell lengths 4.8056, 4.8056, 4.8056 Å; angles 60.00, 60.00, 60.00 degrees
Atoms (fractional coordinates):
Se (0.5000, 0.5000, 0.5000)
C (0.0000, 0.0000, 0.0000)
Na (0.2500, 0.2500, 0.2500)
Na (0.7500, 0.7500, 0.7500)

=====

(2)
Density functional theory data (PBE) for crystalline Na2CSe at its relaxed geometry.

Output
- Mass density: 2.179 g/cm³
- DOS(E_F): 4.5 states/eV/cell
- Total moment: 0.00 μB per formula unit

Cell lengths 9.9188, 9.9188, 7.3275 Å; angles 47.40, 47.40, 90.00 degrees
Atoms (fractional coordinates):
Na (0.3697, 0.6250, 0.2500)
Na (0.3803, 0.1250, 0.2500)
C (0.5000, 0.5000, 0.0000)
Se (0.7500, 0.2500, 0.5000)
Na (0.8750, 0.6303, 0.7500)
Na (0.3750, 0.6197, 0.7500)
C (0.2500, 0.7500, 0.5000)
Se (0.0000, 0.0000, 0.0000)

=====

Most stable = (2)

=====

(1)
Density functional theory data (PBE) for crystalline NaSm2C at its relaxed geometry.

Output
- Mass density: 5.040 g/cm³
- DOS(E_F): 3.6 states/eV/cell
- Total moment: 0.00 μB per formula unit

Cell lengths 3.6017, 3.6017, 9.8439 Å; angles 90.00, 90.00, 119.98 degrees
Atoms (fractional coordinates):
C (0.1319, 0.8681, 0.5000)
Sm (0.4653, 0.5347, 0.3504)
Na (0.8035, 0.1965, 0.0000)
Sm (0.4653, 0.5347, 0.6496)

=====

(2)
Density functional theory data (PBE) for crystalline NaSm2C at its relaxed geometry.

Output
- Mass density: 5.553 g/cm³
- DOS(E_F): 3.3 states/eV/cell
- Total moment: 0.00 μB per formula unit

Cell lengths 3.2601, 3.2601, 9.4450 Å; angles 90.00, 90.00, 90.00 degrees
Atoms (fractional coordinates):
Sm (0.0000, 0.0000, 0.6027)
Na (0.5000, 0.5000, 0.2500)
C (0.5000, 0.5000, 0.7500)
Sm (0.0000, 0.0000, 0.8973)

=====

Most stable = (1)

=====

(1)
Density functional theory data (PBE) for crystalline NaSnC3 at its relaxed geometry.

Output
- Mass density: 3.503 g/cm³
- DOS(E_F): 4.5 states/eV/cell
- Total moment: 0.00 μB per formula unit

Cell lengths 4.3837, 4.3837, 4.3837 Å; angles 90.00, 90.00, 90.00 degrees
Atoms (fractional coordinates):
Sn (0.0000, 0.0000, 0.0000)
C (0.0000, 0.0000, 0.5000)
C (0.0000, 0.5000, 0.0000)
Na (0.5000, 0.5000, 0.5000)
C (0.5000, 0.0000, 0.0000)

=====

(2)
Density functional theory data (PBE) for crystalline NaSnC3 at its relaxed geometry.

Output
- Mass density: 3.599 g/cm³
- DOS(E_F): 4.0 states/eV/cell
- Total moment: 0.00 μB per formula unit

Cell lengths 4.3447, 4.3447, 4.3447 Å; angles 90.00, 90.00, 90.00 degrees
Atoms (fractional coordinates):
C (0.5000, 0.0000, 0.0000)
C (0.0000, 0.5000, 0.0000)
Na (0.0000, 0.0000, 0.0000)
Sn (0.5000, 0.5000, 0.5000)
C (0.0000, 0.0000, 0.5000)

=====

Most stable = (1)

=====

(1)
Density functional theory data (PBE) for crystalline Na3SnC at its relaxed geometry.

Output
- Mass density: 1.575 g/cm³
- DOS(E_F): 4.6 states/eV/cell
- Total moment: 1.00 μB per formula unit

Cell lengths 5.9485, 5.9485, 5.9485 Å; angles 90.00, 90.00, 90.00 degrees
Atoms (fractional coordinates):
Na (0.0000, 0.0000, 0.5000)
C (0.5000, 0.5000, 0.5000)
Na (0.5000, 0.0000, 0.0000)
Sn (0.0000, 0.0000, 0.0000)
Na (0.0000, 0.5000, 0.0000)

=====

(2)
Density functional theory data (PBE) for crystalline Na3SnC at its relaxed geometry.

Output
- Mass density: 2.748 g/cm³
- DOS(E_F): 4.0 states/eV/cell
- Total moment: 0.00 μB per formula unit

Cell lengths 4.9415, 4.9415, 4.9415 Å; angles 90.00, 90.00, 90.00 degrees
Atoms (fractional coordinates):
Na (0.0000, 0.5000, 0.0000)
Sn (0.5000, 0.5000, 0.5000)
Na (0.5000, 0.0000, 0.0000)
Na (0.0000, 0.0000, 0.5000)
C (0.0000, 0.0000, 0.0000)

=====

Most stable = (2)

=====

(1)
Density functional theory data (PBE) for crystalline NaSrC3 at its relaxed geometry.

Output
- Mass density: 2.881 g/cm³
- DOS(E_F): 4.6 states/eV/cell
- Total moment: 0.00 μB per formula unit

Cell lengths 4.3887, 4.3887, 4.3887 Å; angles 90.00, 90.00, 90.00 degrees
Atoms (fractional coordinates):
Sr (0.5000, 0.5000, 0.5000)
C (0.0000, 0.5000, 0.0000)
C (0.5000, 0.0000, 0.0000)
C (0.0000, 0.0000, 0.5000)
Na (0.0000, 0.0000, 0.0000)

=====

(2)
Density functional theory data (PBE) for crystalline NaSrC3 at its relaxed geometry.

Output
- Mass density: 1.583 g/cm³
- DOS(E_F): 4.1 states/eV/cell
- Total moment: 8.66 μB per formula unit

Cell lengths 5.3579, 5.3579, 5.3579 Å; angles 90.00, 90.00, 90.00 degrees
Atoms (fractional coordinates):
C (0.5000, 0.0000, 0.0000)
Sr (0.0000, 0.0000, 0.0000)
C (0.0000, 0.0000, 0.5000)
C (0.0000, 0.5000, 0.0000)
Na (0.5000, 0.5000, 0.5000)

=====

Most stable = (1)